Record 1
VASP calculation (PBE) on CaPr5N6 after structural relaxation.

```
12
Lattice="3.1824 -5.5114 0.0000 3.1824 5.5114 0.0000 -2.1156 0.0000 5.9944" Properties=species:S:1:pos:R:3 pbc="T T T"
Ca 0.0000 0.0000 0.0000
Pr 2.1246 3.6896 2.9972
Pr 3.1824 1.8380 0.0000
Pr 2.1246 0.0000 2.9972
Pr 3.1824 -1.8380 0.0000
Pr 2.1246 -3.6896 2.9972
N 1.0885 1.8852 1.5138
N 0.0580 0.0000 4.4675
N 1.0885 -1.8852 1.5138
N 3.1607 1.8852 4.4806
N 4.1912 0.0000 1.5269
N 3.1607 -1.8852 4.4806
```

Calculated values
Size of the total moment in Bohr magnetons per cell: 0.001
Space-group type: C2/m
Formation energy (no corrections) in kJ per mole of atoms: -110.8
E_tot in eV per cell: -89.63
Fermi-level density of states in states/eV/atom: 0.680

=====

Record 2
VASP calculation (PBE) on PuHgI2 after structural relaxation.

```
4
Lattice="3.8426 0.0000 0.0000 0.0000 3.8426 0.0000 0.0000 0.0000 10.1536" Properties=species:S:1:pos:R:3 pbc="T T T"
Pu 0.0000 0.0000 0.0000
Hg 0.0000 0.0000 5.0768
I 1.9213 1.9213 1.8861
I 1.9213 1.9213 8.2675
```

Calculated values
Size of the total moment in Bohr magnetons per cell: 6.000
Space-group type: P4/mmm
Formation energy (no corrections) in kJ per mole of atoms: -71.3
E_tot in eV per cell: -20.69
Fermi-level density of states in states/eV/atom: 1.634

=====

Record 3
VASP calculation (PBE) on Pr9DyIn2 after structural relaxation.

```
12
Lattice="5.0495 0.0000 0.0000 0.0000 5.0495 0.0000 0.0000 0.0000 15.4586" Properties=species:S:1:pos:R:3 pbc="T T T"
Pr 0.0000 0.0000 0.0000
Pr 0.0000 0.0000 5.2087
Pr 0.0000 0.0000 10.2499
Pr 0.0000 2.5247 2.6723
Pr 0.0000 2.5247 7.7293
Pr 0.0000 2.5247 12.7863
Pr 2.5247 0.0000 2.6723
Pr 2.5247 0.0000 7.7293
Pr 2.5247 0.0000 12.7863
Dy 2.5247 2.5247 0.0000
In 2.5247 2.5247 5.2285
In 2.5247 2.5247 10.2301
```

Calculated values
Size of the total moment in Bohr magnetons per cell: 0.000
Space-group type: P4/mmm
Energy of formation from the pure elements in eV per formula unit: -2.1
E_tot in eV per cell: -55.18
Fermi-level density of states in states/eV/atom: 1.256